Entry from the Alexandria database: crystalline Rb3MoCl2F6 at its relaxed geometry (PBE with a Hubbard U).

Properties
Its space group is C2/m (12). The total DFT energy (no corrections) comes out at -53.29 eV per cell. Its total magnetization is 0.883 μB per cell.

```
Rb3MoCl2F6
1.0
8.0522 -4.0377 0.0000
8.0522 4.0377 0.0000
-1.2520 0.0000 4.5738
Rb Mo Cl F
3 1 2 6
Direct
0.0000 0.0000 0.0000
0.0000 0.5000 0.0000
0.5000 0.0000 0.0000
0.5000 0.5000 0.5000
0.1841 0.1841 0.4452
0.8159 0.8159 0.5548
0.2663 0.6155 0.2359
0.3845 0.7337 0.7641
0.4085 0.4085 0.6772
0.5915 0.5915 0.3228
0.6155 0.2663 0.2359
0.7337 0.3845 0.7641
```